The following is a DFT calculation (PBE-GGA) of a relaxed RbTe2PbN crystal.

Unit cell a=6.135 b=6.135 c=4.678 alpha=90.00 beta=90.00 gamma=90.00
Fractional coordinates of all 5 atoms:
Pb (0.000, 0.000, 0.000)
Te (0.000, 0.500, 0.000)
Te (0.500, 0.000, 0.000)
Rb (0.500, 0.500, 0.500)
N (0.000, 0.000, 0.500)

Output
E_form (uncorrected) (eV/atom): 0.505
M_tot (μB per cell): 2.3
E above lowest polymorph (meV per atom): 0.0
Space group: P4/mmm (123)